[1]
A plane-wave DFT calculation with PBE was carried out for a relaxed structure of Ru2SeCl.

Its energy above the most stable polymorph in this dataset is 441 meV/atom. The value obtained for the formation energy (no corrections) is 0.5005 eV/atom. The uncorrected energy comes out at -21.88 eV per cell.

The structure belongs to space group P4/mmm (No. 123); the cell edges are 3.0726, 3.0726 and 6.6715 Å and the angles 90.00°, 90.00° and 90.00°. The inequivalent atoms are Ru at (0.0000, 0.0000, 0.2106), Se at (0.5000, 0.5000, 0.0000) and Cl at (0.5000, 0.5000, 0.5000).

***

[2]
A plane-wave DFT calculation with PBE was carried out for a relaxed structure of RuSe2Cl.

Its energy above the most stable polymorph in this dataset is 0 meV/atom. The value obtained for the formation energy (no corrections) is -0.1897 eV/atom. The uncorrected energy comes out at -18.85 eV per cell.

The structure belongs to space group P2/m (No. 10); the cell edges are 4.8877, 3.7214 and 5.0182 Å and the angles 90.00°, 116.78° and 90.00°. The inequivalent atoms are Ru at (0.0000, 0.0000, 0.0000), Se at (0.1738, 0.5000, 0.3668) and Cl at (0.5000, 0.0000, 0.0000).

***

[3]
A plane-wave DFT calculation with PBE was carried out for a relaxed structure of RuSe2Cl.

Its energy above the most stable polymorph in this dataset is 270 meV/atom. The value obtained for the formation energy (no corrections) is 0.0807 eV/atom. The uncorrected energy comes out at -17.77 eV per cell.

The structure belongs to space group Pmmm (No. 47); the cell edges are 2.9224, 3.1247 and 8.6787 Å and the angles 90.00°, 90.00° and 90.00°. The inequivalent atoms are Ru at (0.0000, 0.0000, 0.0000), Se at (0.5000, 0.5000, 0.1810) and Cl at (0.0000, 0.0000, 0.5000).

***

[4]
A plane-wave DFT calculation with PBE was carried out for a relaxed structure of Ru2SeCl.

Its energy above the most stable polymorph in this dataset is 269 meV/atom. The value obtained for the formation energy (no corrections) is 0.3285 eV/atom. The uncorrected energy comes out at -45.14 eV per cell.

The structure belongs to space group Imm2 (No. 44); the cell edges are 2.9238, 3.0540 and 17.4385 Å and the angles 90.00°, 90.00° and 90.00°. The inequivalent atoms are Ru at (0.0000, 0.0000, 0.0000), Ru at (0.0000, 0.5000, 0.3756), Se at (0.0000, 0.5000, 0.7965) and Cl at (0.0000, 0.0000, 0.5861).

***

[5]
A plane-wave DFT calculation with PBE was carried out for a relaxed structure of Ru2SeCl.

Its energy above the most stable polymorph in this dataset is 511 meV/atom. The value obtained for the formation energy (no corrections) is 0.5708 eV/atom. The uncorrected energy comes out at -86.40 eV per cell.

The structure belongs to space group Fm-3m (No. 225); the cell edges are 6.2219, 6.2219 and 6.2219 Å and the angles 90.00°, 90.00° and 90.00°. The inequivalent atoms are Ru at (0.2500, 0.2500, 0.2500), Se at (0.0000, 0.0000, 0.0000) and Cl at (0.0000, 0.0000, 0.5000).

***

[6]
A plane-wave DFT calculation with PBE was carried out for a relaxed structure of RuSe2Cl.

Its energy above the most stable polymorph in this dataset is 878 meV/atom. The value obtained for the formation energy (no corrections) is 0.6886 eV/atom. The uncorrected energy comes out at -15.34 eV per cell.

The structure belongs to space group P4/mmm (No. 123); the cell edges are 4.8054, 4.8054 and 2.9953 Å and the angles 90.00°, 90.00° and 90.00°. The inequivalent atoms are Ru at (0.0000, 0.0000, 0.0000), Se at (0.0000, 0.5000, 0.5000) and Cl at (0.5000, 0.5000, 0.0000).

***

[7]
A plane-wave DFT calculation with PBE was carried out for a relaxed structure of Ru2SeCl.

Its energy above the most stable polymorph in this dataset is 426 meV/atom. The value obtained for the formation energy (no corrections) is 0.4859 eV/atom. The uncorrected energy comes out at -87.76 eV per cell.

The structure belongs to space group I-42d (No. 122); the cell edges are 5.4823, 5.4823 and 10.7814 Å and the angles 90.00°, 90.00° and 90.00°. The inequivalent atoms are Ru at (0.2496, 0.2500, 0.1250), Se at (0.0000, 0.0000, 0.0000) and Cl at (0.0000, 0.0000, 0.5000).

***

[8]
A plane-wave DFT calculation with PBE was carried out for a relaxed structure of RuSeCl4.

The value obtained for the formation energy (no corrections) is 1.2486 eV/atom. The uncorrected energy comes out at -50.62 eV per cell.

The structure belongs to space group F-43m (No. 216); the cell edges are 8.0504, 8.0504 and 8.0504 Å and the angles 90.00°, 90.00° and 90.00°. The inequivalent atoms are Ru at (0.0000, 0.0000, 0.0000), Se at (0.2500, 0.2500, 0.7500) and Cl at (0.1259, 0.1259, 0.3741).

***

Repeat the fourth record exactly.
A plane-wave DFT calculation with PBE was carried out for a relaxed structure of Ru2SeCl.

Its energy above the most stable polymorph in this dataset is 269 meV/atom. The value obtained for the formation energy (no corrections) is 0.3285 eV/atom. The uncorrected energy comes out at -45.14 eV per cell.

The structure belongs to space group Imm2 (No. 44); the cell edges are 2.9238, 3.0540 and 17.4385 Å and the angles 90.00°, 90.00° and 90.00°. The inequivalent atoms are Ru at (0.0000, 0.0000, 0.0000), Ru at (0.0000, 0.5000, 0.3756), Se at (0.0000, 0.5000, 0.7965) and Cl at (0.0000, 0.0000, 0.5861).

***

formation energy (no corrections) of number 3 (RuSe2Cl)? 0.0807 eV/atom